[1]
Density functional theory data (PBE) for crystalline Ac2InSn3Ir4 at its relaxed geometry.

Properties
Formation energy from the elements (eV per atom): -0.55
V (Å³/atom): 23.03

Cell lengths 4.5326, 4.5326, 11.2102 Å; angles 90.00, 90.00, 90.00 degrees
With the nearest neighbours (Å) after each atom.
Fractional positions:
Ac: 0.0000 0.5000 0.7512  8 Ir 3.45-3.59, 6 Sn 3.48-3.61, 2 In 3.61
Ac: 0.5000 0.0000 0.2488  8 Ir 3.45-3.59, 6 Sn 3.48-3.61, 2 In 3.61
Sn: 0.0000 0.0000 0.5000  4 Ir 2.74
Sn: 0.5000 0.0000 0.8731  5 Ir 2.65-2.68
Sn: 0.0000 0.5000 0.1269  5 Ir 2.65-2.68
Ir: 0.0000 0.5000 0.3629  3 Sn 2.65-2.74, 2 In 2.74
Ir: 0.5000 0.5000 0.0000  4 Sn 2.68
Ir: 0.5000 0.0000 0.6371  3 Sn 2.65-2.74, 2 In 2.74
Ir: 0.0000 0.0000 0.0000  4 Sn 2.68
In: 0.5000 0.5000 0.5000  4 Ir 2.74

[2]
Density functional theory data (PBE) for crystalline RbSnHg2 at its relaxed geometry.

Properties
Formation energy from the elements (eV per atom): -0.07
V (Å³/atom): 43.45

Cell lengths 5.9531, 5.9531, 10.6741 Å; angles 73.81, 73.81, 90.00 degrees
With the nearest neighbours (Å) after each atom.
Fractional positions:
Sn: 0.0000 0.0000 0.0000  4 Hg 2.89
Sn: 0.7500 0.2500 0.5000  4 Hg 2.89
Hg: 0.8137 0.1250 0.2500  2 Sn 2.89, 2 Hg 3.06
Hg: 0.8750 0.0637 0.7500  2 Sn 2.89, 2 Hg 3.06
Hg: 0.3750 0.1863 0.7500  2 Sn 2.89, 2 Hg 3.06
Hg: 0.9363 0.6250 0.2500  2 Sn 2.89, 2 Hg 3.06
Rb: 0.2500 0.7500 0.5000  4 Hg 3.88, 4 Sn 4.21
Rb: 0.5000 0.5000 0.0000  4 Hg 3.88, 4 Sn 4.21

[3]
Density functional theory data (PBE) for crystalline La2Nd2Y at its relaxed geometry.

Properties
Formation energy from the elements (eV per atom): 0.06
V (Å³/atom): 35.15
Excess energy over the best structure of this formula in the dataset (eV per atom): 0.000

Cell lengths 3.5667, 5.5478, 9.3089 Å; angles 107.43, 90.00, 90.00 degrees
With the nearest neighbours (Å) after each atom.
Fractional positions:
La: 0.0000 0.8026 0.6048  4 La 3.34-3.57, 1 Y 3.51, 4 Nd 3.72
La: 0.0000 0.1974 0.3952  4 La 3.34-3.57, 1 Y 3.51, 4 Nd 3.72
Y: 0.0000 0.0000 0.0000  2 La 3.51, 2 Y 3.57, 8 Nd 3.75
Nd: 0.5000 0.3997 0.7992  3 Nd 3.57, 4 La 3.72, 4 Y 3.75
Nd: 0.5000 0.6003 0.2008  3 Nd 3.57, 4 La 3.72, 4 Y 3.75

[4]
Density functional theory data (PBE) for crystalline SrTbEr at its relaxed geometry.

Properties
Formation energy from the elements (eV per atom): 0.19
V (Å³/atom): 36.81
Excess energy over the best structure of this formula in the dataset (eV per atom): 0.050

Cell lengths 8.5222, 8.5222, 7.7286 Å; angles 45.73, 45.73, 35.30 degrees
With the nearest neighbours (Å) after each atom.
Fractional positions:
Tb: 0.3857 0.3857 0.9206  1 Tb 3.39, 5 Er 3.48-3.69, 3 Sr 3.74-3.79
Tb: 0.3675 0.3675 0.3867  1 Tb 3.39, 5 Er 3.48-3.69, 3 Sr 3.74-3.79
Sr: 0.7096 0.7096 0.8963  3 Sr 3.70-3.75, 4 Er 3.72-4.01, 5 Tb 3.74-3.96
Sr: 0.0435 0.0435 0.4111  3 Sr 3.70-3.75, 4 Er 3.72-4.01, 5 Tb 3.74-3.96
Er: 0.0341 0.0341 0.9065  5 Tb 3.48-3.69, 3 Er 3.48-3.71, 3 Sr 3.72-3.81
Er: 0.7191 0.7191 0.4008  5 Tb 3.48-3.69, 3 Er 3.48-3.71, 3 Sr 3.72-3.81

[5]
Density functional theory data (PBE) for crystalline P2PdNCl at its relaxed geometry.

Properties
V (Å³/atom): 20.47
Excess energy over the best structure of this formula in the dataset (eV per atom): 0.739

Cell lengths 4.6462, 4.6462, 4.7406 Å; angles 90.00, 90.00, 90.00 degrees
With the nearest neighbours (Å) after each atom.
Fractional positions:
Pd: 0.0000 0.0000 0.0000  4 P 2.32, 2 Cl 2.37
P: 0.0000 0.5000 0.0000  2 Pd 2.32
P: 0.5000 0.0000 0.0000  2 Pd 2.32
N: 0.5000 0.5000 0.5000  4 Cl 3.29, 8 P 3.32
Cl: 0.0000 0.0000 0.5000  2 Pd 2.37

[6]
Density functional theory data (PBE) for crystalline Cu7PdPt3 at its relaxed geometry.

Properties
Formation energy from the elements (eV per atom): 0.14
V (Å³/atom): 14.79

Cell lengths 4.5646, 6.4147, 6.4147 Å; angles 88.98, 110.86, 110.86 degrees
With the nearest neighbours (Å) after each atom.
Fractional positions:
Pt: 0.5000 0.0000 0.0000  8 Cu 2.58-2.71
Pt: 0.0000 0.2275 0.7725  9 Cu 2.45-2.66
Pt: 0.0000 0.7725 0.2275  9 Cu 2.45-2.66
Cu: 0.8163 0.8157 0.8157  1 Pd 2.50, 4 Pt 2.51-2.71, 2 Cu 2.57
Cu: 0.3289 0.0724 0.5852  4 Cu 2.57-2.72, 4 Pt 2.58-2.66, 1 Pd 2.68
Cu: 0.3289 0.5852 0.0724  4 Cu 2.57-2.72, 4 Pt 2.58-2.66, 1 Pd 2.68
Cu: 0.1837 0.1843 0.1843  1 Pd 2.50, 4 Pt 2.51-2.71, 2 Cu 2.57
Cu: 0.6711 0.9276 0.4148  4 Cu 2.57-2.72, 4 Pt 2.58-2.66, 1 Pd 2.68
Cu: 0.6711 0.4148 0.9276  4 Cu 2.57-2.72, 4 Pt 2.58-2.66, 1 Pd 2.68
Cu: 0.0000 0.5000 0.5000  2 Pd 2.28, 2 Pt 2.45
Pd: 0.5000 0.5000 0.5000  4 Cu 2.28-2.50

[7]
Density functional theory data (PBE) for crystalline NdDyScIn at its relaxed geometry.

Properties
Formation energy from the elements (eV per atom): -0.09
V (Å³/atom): 27.41
Excess energy over the best structure of this formula in the dataset (eV per atom): 0.071

Cell lengths 5.3718, 5.3718, 5.3726 Å; angles 120.00, 120.00, 90.00 degrees
With the nearest neighbours (Å) after each atom.
Fractional positions:
Nd: 0.5000 0.5000 0.0000  4 Dy 3.29, 4 Sc 3.29
In: 0.0000 0.0000 0.0000  4 Dy 3.29, 4 Sc 3.29
Sc: 0.2500 0.7500 0.5000  4 In 3.29, 4 Nd 3.29
Dy: 0.7500 0.2500 0.5000  4 In 3.29, 4 Nd 3.29

[8]
Density functional theory data (PBE) for crystalline Y2ScRe at its relaxed geometry.

Properties
Formation energy from the elements (eV per atom): 0.26
V (Å³/atom): 22.61
Excess energy over the best structure of this formula in the dataset (eV per atom): 0.152

Cell lengths 5.0384, 5.0384, 5.0384 Å; angles 60.00, 60.00, 60.00 degrees
With the nearest neighbours (Å) after each atom.
Fractional positions:
Re: 0.5000 0.5000 0.5000  4 Sc 3.09, 4 Y 3.09
Y: 0.2500 0.2500 0.2500  4 Re 3.09, 4 Y 3.09
Y: 0.0000 0.0000 0.0000  4 Y 3.09, 4 Sc 3.09
Sc: 0.7500 0.7500 0.7500  4 Y 3.09, 4 Re 3.09

Here are the calculated calculated density numbers, same order: 12.21; 5.78; 6.19; 6.22; 3.53; 11.60; 7.07; 7.51 (Mg/m³).